# Sr2Li12Ag7 | the Alexandria database | PBE | relaxed
data_Sr2Li12Ag7
_chemical_formula_sum 'Sr2 Li12 Ag7'
_space_group_name_H-M_alt 'P -6'
_space_group_IT_number 174
_space_group_name_Hall 'P -6'
_cell_length_a 10.3743
_cell_length_b 10.3743
_cell_length_c 4.4950
_cell_angle_alpha 90.00
_cell_angle_beta 90.00
_cell_angle_gamma 120.00
loop_
_atom_site_label
_atom_site_type_symbol
_atom_site_fract_x
_atom_site_fract_y
_atom_site_fract_z
Sr1 Sr 0.0000 0.0000 0.0000
Sr2 Sr 0.3333 0.6667 0.5000
Li1 Li 0.0000 0.7107 0.5000
Li2 Li 0.1671 0.3812 0.0000
Li3 Li 0.3781 0.1738 0.0000
Li4 Li 0.5468 0.1480 0.5000
Ag1 Ag 0.0076 0.2592 0.5000
Ag2 Ag 0.0136 0.5331 0.0000
Ag3 Ag 0.6667 0.3333 0.0000
# Formation energy from the elements = -0.164 eV/atom
# Calculated density = 4.02 Mg/m³
# Uncorrected energy = -2.3679 eV per atom